Below is NaLiTi2Ag after structural relaxation, with properties calculated at the GGA-PBE level.

a b c (Å): 5.0732 5.0079 5.0732
angles (deg): 90.00 90.00 90.00
Sites, in units of the cell vectors:
1 Na 0.5000 0.5000 0.5000
2 Li 0.0000 0.5000 0.0000
3 Ag 0.0000 0.0000 0.0000
4 Ti 0.0000 0.0000 0.5000
5 Ti 0.5000 0.0000 0.0000

Output
raw total energy = -3.529 eV per atom
energy relative to the elements = 0.846 eV per atom
DOS(E_F) = 6.9 states/eV/cell
E above lowest polymorph = 0 meV/atom